# 1
Ca3LaSn: relaxed, PBE.

- Total DFT energy (no corrections): -2.938 eV per atom

The structure in CIF format:
```
data_Ca3LaSn
_chemical_formula_sum 'Ca3 La1 Sn1'
_cell_length_a 5.881
_cell_length_b 5.881
_cell_length_c 5.881
_cell_angle_alpha 90.00
_cell_angle_beta 90.00
_cell_angle_gamma 90.00
_symmetry_space_group_name_H-M 'P m -3 m'
_symmetry_Int_Tables_number 221
_symmetry_space_group_name_Hall '-P 4 2 3'
loop_
_atom_site_label
_atom_site_type_symbol
_atom_site_fract_x
_atom_site_fract_y
_atom_site_fract_z
Ca1 Ca 0.000 0.000 0.500
La1 La 0.500 0.500 0.500
Sn1 Sn 0.000 0.000 0.000
```

# 2
La4CdRu2: relaxed, PBE.

- Total DFT energy (no corrections): -5.804 eV per atom

The structure in CIF format:
```
data_La4CdRu2
_chemical_formula_sum 'La8 Cd2 Ru4'
_cell_length_a 7.650
_cell_length_b 7.684
_cell_length_c 7.836
_cell_angle_alpha 106.37
_cell_angle_beta 106.58
_cell_angle_gamma 92.80
_symmetry_space_group_name_H-M 'P 1'
_symmetry_Int_Tables_number 1
_symmetry_space_group_name_Hall 'P 1'
loop_
_atom_site_label
_atom_site_type_symbol
_atom_site_fract_x
_atom_site_fract_y
_atom_site_fract_z
La1 La 0.000 0.000 0.000
La2 La 0.001 0.949 0.495
La3 La 0.005 0.491 0.890
La4 La 0.414 0.414 0.220
La5 La 0.438 0.942 0.360
La6 La 0.461 0.413 0.723
La7 La 0.474 0.980 0.862
La8 La 0.929 0.412 0.340
Cd1 Cd 0.698 0.715 0.611
Cd2 Cd 0.705 0.708 0.109
Ru1 Ru 0.187 0.224 0.812
Ru2 Ru 0.197 0.218 0.405
Ru3 Ru 0.253 0.655 0.401
Ru4 Ru 0.752 0.148 0.808
```

# 3
Sr6In5Hg: relaxed, PBE.

- Total DFT energy (no corrections): -2.456 eV per atom

The structure in CIF format:
```
data_Sr6In5Hg
_chemical_formula_sum 'Sr12 In10 Hg2'
_cell_length_a 5.705
_cell_length_b 17.161
_cell_length_c 8.224
_cell_angle_alpha 90.00
_cell_angle_beta 90.00
_cell_angle_gamma 90.00
_symmetry_space_group_name_H-M 'C m m m'
_symmetry_Int_Tables_number 65
_symmetry_space_group_name_Hall '-C 2 2'
loop_
_atom_site_label
_atom_site_type_symbol
_atom_site_fract_x
_atom_site_fract_y
_atom_site_fract_z
Sr1 Sr 0.000 0.000 0.247
Sr2 Sr 0.000 0.335 0.250
In1 In 0.000 0.167 0.500
In2 In 0.000 0.171 0.000
In3 In 0.000 0.500 0.500
Hg1 Hg 0.000 0.500 0.000
```

# 4
TbBe3Co3: relaxed, PBE.

- Total DFT energy (no corrections): -5.059 eV per atom

The structure in CIF format:
```
data_TbBe3Co3
_chemical_formula_sum 'Tb2 Be6 Co6'
_cell_length_a 5.713
_cell_length_b 5.713
_cell_length_c 5.713
_cell_angle_alpha 90.00
_cell_angle_beta 90.00
_cell_angle_gamma 90.00
_symmetry_space_group_name_H-M 'P m -3 n'
_symmetry_Int_Tables_number 223
_symmetry_space_group_name_Hall '-P 4n 2 3'
loop_
_atom_site_label
_atom_site_type_symbol
_atom_site_fract_x
_atom_site_fract_y
_atom_site_fract_z
Tb1 Tb 0.000 0.000 0.000
Be1 Be 0.000 0.250 0.500
Co1 Co 0.000 0.500 0.250
```

# 5
TaNi2HW: relaxed, PBE.

- Total DFT energy (no corrections): -7.957 eV per atom

The structure in CIF format:
```
data_TaNi2HW
_chemical_formula_sum 'Ta1 Ni2 H1 W1'
_cell_length_a 3.802
_cell_length_b 3.802
_cell_length_c 3.998
_cell_angle_alpha 90.00
_cell_angle_beta 90.00
_cell_angle_gamma 90.00
_symmetry_space_group_name_H-M 'P 4/m m m'
_symmetry_Int_Tables_number 123
_symmetry_space_group_name_Hall '-P 4 2'
loop_
_atom_site_label
_atom_site_type_symbol
_atom_site_fract_x
_atom_site_fract_y
_atom_site_fract_z
Ta1 Ta 0.000 0.000 0.000
Ni1 Ni 0.000 0.500 0.500
H1 H 0.500 0.500 0.500
W1 W 0.500 0.500 0.000
```

# 6
Os3PtC: relaxed, PBE.

- Total DFT energy (no corrections): -9.237 eV per atom

The structure in CIF format:
```
data_Os3PtC
_chemical_formula_sum 'Os3 Pt1 C1'
_cell_length_a 4.060
_cell_length_b 4.060
_cell_length_c 4.060
_cell_angle_alpha 90.00
_cell_angle_beta 90.00
_cell_angle_gamma 90.00
_symmetry_space_group_name_H-M 'P m -3 m'
_symmetry_Int_Tables_number 221
_symmetry_space_group_name_Hall '-P 4 2 3'
loop_
_atom_site_label
_atom_site_type_symbol
_atom_site_fract_x
_atom_site_fract_y
_atom_site_fract_z
Os1 Os 0.000 0.000 0.500
Pt1 Pt 0.500 0.500 0.500
C1 C 0.000 0.000 0.000
```

# 7
ReAg2W2: relaxed, PBE.

- Total DFT energy (no corrections): -7.347 eV per atom

The structure in CIF format:
```
data_ReAg2W2
_chemical_formula_sum 'Re2 Ag4 W4'
_cell_length_a 3.652
_cell_length_b 3.652
_cell_length_c 13.312
_cell_angle_alpha 90.00
_cell_angle_beta 90.00
_cell_angle_gamma 90.00
_symmetry_space_group_name_H-M 'I 4/m m m'
_symmetry_Int_Tables_number 139
_symmetry_space_group_name_Hall '-I 4 2'
loop_
_atom_site_label
_atom_site_type_symbol
_atom_site_fract_x
_atom_site_fract_y
_atom_site_fract_z
Re1 Re 0.000 0.000 0.000
Ag1 Ag 0.000 0.000 0.405
W1 W 0.000 0.500 0.250
```

# 8
Ac2DyHg5: relaxed, PBE.

- Total DFT energy (no corrections): -2.182 eV per atom

The structure in CIF format:
```
data_Ac2DyHg5
_chemical_formula_sum 'Ac4 Dy2 Hg10'
_cell_length_a 5.437
_cell_length_b 5.437
_cell_length_c 15.380
_cell_angle_alpha 90.00
_cell_angle_beta 90.00
_cell_angle_gamma 90.00
_symmetry_space_group_name_H-M 'I 4/m m m'
_symmetry_Int_Tables_number 139
_symmetry_space_group_name_Hall '-I 4 2'
loop_
_atom_site_label
_atom_site_type_symbol
_atom_site_fract_x
_atom_site_fract_y
_atom_site_fract_z
Ac1 Ac 0.000 0.000 0.235
Dy1 Dy 0.000 0.000 0.500
Hg1 Hg 0.000 0.000 0.000
Hg2 Hg 0.000 0.500 0.110
```

The lowest total DFT energy (no corrections) belongs to which entry?
Os3PtC